(1)
A plane-wave DFT calculation with PBE was carried out for an optimized crystal structure of Cs2HoBr6.

Output
Its total DFT energy (no corrections) is -29.94 eV/cell.

Cell and atoms, written as POSCAR:
```
Cs2HoBr6
1.0
5.292 0.000 -0.002
0.000 8.724 0.000
-2.024 -4.362 8.094
Ho Cs Br
1 2 6
direct
0.000 0.000 0.000
0.651 0.666 0.332
0.349 0.334 0.668
0.872 0.073 0.727
0.500 0.811 0.000
0.500 0.189 0.000
0.128 0.346 0.273
0.128 0.927 0.273
0.872 0.654 0.727
```

=====

(2)
A plane-wave DFT calculation with PBE was carried out for an optimized crystal structure of Cs2HoBr5.

Output
Its total DFT energy (no corrections) is -58.63 eV/cell.

Cell and atoms, written as POSCAR:
```
Cs2HoBr5
1.0
5.729 0.000 0.000
-2.865 9.267 0.000
0.000 0.000 15.885
Ho Br Cs
2 10 4
direct
0.149 0.299 0.250
0.851 0.701 0.750
0.743 0.487 0.877
0.662 0.324 0.250
0.045 0.090 0.373
0.257 0.513 0.123
0.955 0.910 0.627
0.955 0.910 0.873
0.743 0.487 0.623
0.338 0.676 0.750
0.045 0.090 0.127
0.257 0.513 0.377
0.859 0.719 0.068
0.859 0.719 0.432
0.141 0.281 0.568
0.141 0.281 0.932
```

=====

(3)
A plane-wave DFT calculation with PBE was carried out for an optimized crystal structure of Cs2HoBr5.

Output
Its total DFT energy (no corrections) is -118.94 eV/cell.

Cell and atoms, written as POSCAR:
```
Cs2HoBr5
1.0
-1.617 -0.946 7.701
1.070 -10.137 -1.020
15.800 1.318 3.480
Br Cs Ho
20 8 4
direct
0.004 0.660 0.885
0.496 0.160 0.615
0.004 0.160 0.615
0.250 0.285 0.903
0.750 0.473 0.702
0.750 0.215 0.403
0.500 0.500 0.500
0.750 0.973 0.798
0.996 0.340 0.115
0.000 0.000 0.000
0.000 0.500 0.500
0.996 0.840 0.385
0.250 0.785 0.597
0.504 0.840 0.385
0.500 0.000 0.000
0.496 0.660 0.885
0.250 0.027 0.202
0.504 0.340 0.115
0.250 0.527 0.298
0.750 0.715 0.097
0.750 0.032 0.206
0.250 0.968 0.794
0.750 0.532 0.294
0.250 0.170 0.415
0.250 0.468 0.706
0.750 0.830 0.585
0.750 0.330 0.915
0.250 0.670 0.085
0.250 0.683 0.437
0.750 0.817 0.937
0.750 0.317 0.563
0.250 0.183 0.063
```

=====

(4)
A plane-wave DFT calculation with PBE was carried out for an optimized crystal structure of Cs4HoBr7.

Output
Its total DFT energy (no corrections) is -41.56 eV/cell.

Cell and atoms, written as POSCAR:
```
Cs4HoBr7
1.0
-4.614 1.944 2.835
-7.502 -0.633 -5.935
-5.596 -9.166 3.016
Br Cs Ho
7 4 1
direct
0.932 0.878 0.258
0.835 0.289 0.041
0.500 0.000 0.000
0.165 0.711 0.959
0.068 0.122 0.742
0.638 0.263 0.461
0.362 0.737 0.539
0.574 0.612 0.240
0.726 0.881 0.668
0.274 0.119 0.332
0.426 0.388 0.760
0.000 0.000 0.000
```

=====

(5)
A plane-wave DFT calculation with PBE was carried out for an optimized crystal structure of Cs2HoBr6.

Output
Its total DFT energy (no corrections) is -61.36 eV/cell.

Cell and atoms, written as POSCAR:
```
Cs2HoBr6
1.0
-6.174 -3.853 -3.157
3.480 -2.786 6.562
-8.176 7.085 7.343
Br Ho Cs
12 2 4
direct
0.497 0.503 0.128
0.497 0.994 0.128
0.006 0.503 0.128
0.835 0.165 0.872
0.165 0.835 0.372
0.503 0.006 0.628
0.994 0.497 0.628
0.503 0.497 0.628
0.330 0.165 0.872
0.835 0.670 0.872
0.165 0.330 0.372
0.670 0.835 0.372
0.667 0.333 0.753
0.333 0.667 0.253
0.667 0.333 0.377
0.000 0.000 0.620
0.333 0.667 0.877
0.000 0.000 0.120
```

=====

(6)
A plane-wave DFT calculation with PBE was carried out for an optimized crystal structure of Cs5Ho2Br12.

Output
Its total DFT energy (no corrections) is -65.24 eV/cell.

Cell and atoms, written as POSCAR:
```
Cs5Ho2Br12
1.0
-9.945 -1.848 1.379
-3.635 -6.647 -7.272
-1.518 -9.542 4.115
Br Cs Ho
12 5 2
direct
0.191 0.549 0.176
0.199 0.879 0.265
0.809 0.451 0.824
0.801 0.121 0.735
0.191 0.176 0.549
0.809 0.824 0.451
0.845 0.106 0.106
0.801 0.735 0.121
0.155 0.894 0.894
0.722 0.438 0.438
0.199 0.265 0.879
0.278 0.562 0.562
0.515 0.659 0.659
0.500 0.000 0.000
0.485 0.341 0.341
0.037 0.255 0.255
0.963 0.745 0.745
0.000 0.810 0.190
0.000 0.190 0.810
```

=====

(7)
A plane-wave DFT calculation with PBE was carried out for an optimized crystal structure of Cs4HoBr6.

Output
Its total DFT energy (no corrections) is -73.03 eV/cell.

Cell and atoms, written as POSCAR:
```
Cs4HoBr6
1.0
10.202 0.000 0.000
0.000 10.202 0.000
0.000 0.000 10.691
Br Ho Cs
12 2 8
direct
0.730 0.074 0.500
0.000 0.000 0.766
0.074 0.270 0.500
0.000 0.000 0.234
0.500 0.500 0.734
0.500 0.500 0.266
0.574 0.230 0.000
0.230 0.426 0.000
0.426 0.770 0.000
0.770 0.574 0.000
0.926 0.730 0.500
0.270 0.926 0.500
0.000 0.000 0.500
0.500 0.500 0.000
0.683 0.817 0.750
0.317 0.183 0.250
0.183 0.683 0.750
0.183 0.683 0.250
0.817 0.317 0.750
0.817 0.317 0.250
0.317 0.183 0.750
0.683 0.817 0.250
```

=====

(8)
A plane-wave DFT calculation with PBE was carried out for an optimized crystal structure of Cs2HoInBr6.

Output
Its total DFT energy (no corrections) is -71.06 eV/cell.

Cell and atoms, written as POSCAR:
```
Cs2HoInBr6
1.0
-7.597 0.409 3.152
3.160 -1.507 7.810
1.321 11.655 1.714
Cs Ho In Br
4 2 2 12
direct
0.017 0.940 0.249
0.517 0.560 0.749
0.983 0.060 0.751
0.483 0.440 0.251
0.000 0.500 0.000
0.500 0.000 0.500
0.000 0.500 0.500
0.500 0.000 0.000
0.776 0.816 0.538
0.925 0.516 0.230
0.724 0.316 0.962
0.318 0.728 0.461
0.182 0.228 0.039
0.575 0.016 0.270
0.075 0.484 0.770
0.682 0.272 0.539
0.224 0.184 0.462
0.818 0.772 0.961
0.276 0.684 0.038
0.425 0.984 0.730
```

=====

(9)
A plane-wave DFT calculation with PBE was carried out for an optimized crystal structure of CsLiHo2Br8.

Output
Its total DFT energy (no corrections) is -46.14 eV/cell.

Cell and atoms, written as POSCAR:
```
CsLiHo2Br8
1.0
-1.970 -1.212 -6.966
-6.990 -1.767 0.933
-2.249 8.417 -0.846
Br Li Cs Ho
8 1 1 2
direct
0.839 0.271 0.205
0.620 0.717 0.000
0.160 0.727 0.205
0.840 0.273 0.795
0.394 0.296 0.501
0.380 0.283 0.000
0.161 0.729 0.795
0.606 0.704 0.499
0.000 0.000 0.000
0.000 0.000 0.500
0.500 0.500 0.762
0.500 0.500 0.238
```

=====

(10)
A plane-wave DFT calculation with PBE was carried out for an optimized crystal structure of CsLiHoBr5.

Output
Its total DFT energy (no corrections) is -59.92 eV/cell.

Cell and atoms, written as POSCAR:
```
CsLiHoBr5
1.0
8.106 0.015 -0.056
-2.351 7.757 -0.056
-2.459 -3.321 9.874
Ho Br Cs Li
2 10 2 2
direct
0.000 0.000 0.000
0.000 0.000 0.500
0.935 0.065 0.750
0.103 0.707 0.902
0.365 0.229 0.081
0.065 0.935 0.250
0.771 0.635 0.419
0.897 0.293 0.098
0.229 0.365 0.581
0.293 0.897 0.598
0.707 0.103 0.402
0.635 0.771 0.919
0.341 0.659 0.250
0.659 0.341 0.750
0.307 0.693 0.750
0.693 0.307 0.250
```

=====

(11)
A plane-wave DFT calculation with PBE was carried out for an optimized crystal structure of Cs2Li2HoBr6.

Output
Its total DFT energy (no corrections) is -37.39 eV/cell.

Cell and atoms, written as POSCAR:
```
Cs2Li2HoBr6
1.0
7.889 0.000 0.000
-3.945 6.815 -0.386
0.000 -4.401 8.104
Br Cs Ho Li
6 2 1 2
direct
0.696 0.908 0.247
0.788 0.092 0.753
0.734 0.467 0.608
0.212 0.908 0.247
0.266 0.533 0.392
0.304 0.092 0.753
0.704 0.409 0.186
0.296 0.591 0.814
0.500 0.000 0.500
0.954 0.907 0.803
0.046 0.093 0.197
```

=====

(12)
A plane-wave DFT calculation with PBE was carried out for an optimized crystal structure of CsHoMg2Br8.

Output
Its total DFT energy (no corrections) is -41.28 eV/cell.

Cell and atoms, written as POSCAR:
```
CsHoMg2Br8
1.0
6.884 0.992 0.937
1.048 6.963 1.067
1.207 1.417 9.752
Br Mg Ho Cs
8 2 1 1
direct
0.383 0.300 0.533
0.728 0.764 0.045
0.733 0.212 0.201
0.820 0.292 0.774
0.272 0.236 0.955
0.617 0.700 0.467
0.267 0.788 0.799
0.180 0.708 0.226
0.543 0.551 0.287
0.457 0.449 0.713
0.000 0.000 0.000
0.000 0.000 0.500
```

=====

(13)
A plane-wave DFT calculation with PBE was carried out for an optimized crystal structure of CsHoMgBr6.

Output
Its total DFT energy (no corrections) is -32.83 eV/cell.

Cell and atoms, written as POSCAR:
```
CsHoMgBr6
1.0
-0.123 -1.070 7.090
-5.678 -3.140 3.056
3.497 -7.337 -1.047
Cs Ho Mg Br
1 1 1 6
direct
0.000 0.000 0.000
0.333 0.333 0.500
0.667 0.667 0.500
0.381 0.991 0.694
0.991 0.381 0.306
0.628 0.381 0.694
0.381 0.628 0.305
0.990 0.628 0.694
0.628 0.991 0.306
```

=====

(14)
A plane-wave DFT calculation with PBE was carried out for an optimized crystal structure of Cs3Na2HoBr8.

Output
Its total DFT energy (no corrections) is -47.18 eV/cell.

Cell and atoms, written as POSCAR:
```
Cs3Na2HoBr8
1.0
-3.781 -4.657 -5.304
1.855 -2.870 7.242
-9.475 3.395 3.773
Cs Br Ho Na
3 8 1 2
direct
0.667 0.333 0.375
0.333 0.667 0.625
0.000 0.000 0.000
0.323 0.161 0.655
0.161 0.839 0.345
0.333 0.667 0.942
0.839 0.677 0.655
0.677 0.839 0.345
0.839 0.161 0.655
0.161 0.323 0.345
0.667 0.333 0.058
0.000 0.000 0.500
0.667 0.333 0.809
0.333 0.667 0.191
```

=====

(15)
A plane-wave DFT calculation with PBE was carried out for an optimized crystal structure of Cs3Na2HoBr9.

Output
Its total DFT energy (no corrections) is -49.05 eV/cell.

Cell and atoms, written as POSCAR:
```
Cs3Na2HoBr9
1.0
-2.581 -7.581 0.172
2.807 3.122 -6.822
9.458 -3.164 2.443
Cs Br Na Ho
3 9 2 1
direct
0.000 0.000 0.000
0.667 0.333 0.327
0.333 0.667 0.673
0.000 0.500 0.000
0.837 0.163 0.657
0.163 0.326 0.343
0.163 0.837 0.343
0.674 0.837 0.343
0.326 0.163 0.657
0.500 0.000 0.000
0.500 0.500 0.000
0.837 0.674 0.657
0.667 0.333 0.828
0.333 0.667 0.172
0.000 0.000 0.500
```

=====

(16)
A plane-wave DFT calculation with PBE was carried out for an optimized crystal structure of CsHoNb6Br18.

Output
Its total DFT energy (no corrections) is -250.60 eV/cell.

Cell and atoms, written as POSCAR:
```
CsHoNb6Br18
1.0
-1.346 -9.063 3.856
8.169 1.981 -5.307
8.734 5.259 15.406
Br Nb Ho Cs
36 12 2 2
direct
0.448 0.088 0.662
0.639 0.552 0.662
0.232 0.047 0.340
0.184 0.953 0.840
0.723 0.585 0.001
0.768 0.816 0.840
0.415 0.137 0.001
0.088 0.448 0.162
0.448 0.361 0.838
0.277 0.863 0.501
0.552 0.912 0.338
0.415 0.277 0.499
0.047 0.816 0.660
0.912 0.552 0.838
0.361 0.912 0.162
0.768 0.953 0.660
0.953 0.768 0.160
0.912 0.361 0.662
0.585 0.863 0.999
0.137 0.415 0.501
0.552 0.639 0.162
0.361 0.448 0.338
0.184 0.232 0.660
0.088 0.639 0.338
0.723 0.137 0.499
0.816 0.768 0.340
0.277 0.415 0.999
0.232 0.184 0.160
0.585 0.723 0.501
0.639 0.088 0.838
0.047 0.232 0.840
0.863 0.277 0.001
0.953 0.184 0.340
0.816 0.047 0.160
0.137 0.723 0.999
0.863 0.585 0.499
0.812 0.961 0.435
0.961 0.149 0.565
0.188 0.039 0.565
0.851 0.039 0.935
0.039 0.851 0.435
0.039 0.188 0.065
0.812 0.851 0.065
0.149 0.188 0.435
0.961 0.812 0.935
0.188 0.149 0.935
0.149 0.961 0.065
0.851 0.812 0.565
0.667 0.333 0.750
0.333 0.667 0.250
0.333 0.667 0.750
0.667 0.333 0.250
```